Entry from the Alexandria database: K3AgBr4 after structural relaxation (PBE).

M_tot	0.00	μB per cell
relative energy among the computed polymorphs	10	meV/atom

a = 10.9355 Å, b = 9.1209 Å, c = 6.6524 Å
α = 90.00°, β = 90.00°, γ = 90.00°
With the nearest neighbours (Å) after each atom.
Element x y z (fractional)
K 0.0000 0.1384 0.0000  5 Br 3.13-3.35
K 0.2362 0.3307 0.5024  5 Br 3.11-3.37
K 0.2638 0.6693 0.0024  5 Br 3.11-3.37
K 0.5000 0.8616 0.5000  5 Br 3.13-3.35
K 0.7362 0.6693 0.0024  5 Br 3.11-3.37
K 0.7638 0.3307 0.5024  5 Br 3.11-3.37
Ag 0.0000 0.8123 0.4337  4 Br 2.78-2.81
Ag 0.5000 0.1877 0.9337  4 Br 2.78-2.81
Br 0.0000 0.1164 0.5018  1 Ag 2.81
Br 0.0000 0.7953 0.0166  1 Ag 2.78, 2 K 3.11
Br 0.2296 0.6891 0.5046  1 Ag 2.79
Br 0.2704 0.3109 0.0046  1 Ag 2.79
Br 0.5000 0.2047 0.5166  1 Ag 2.78, 2 K 3.11
Br 0.5000 0.8836 0.0018  1 Ag 2.81
Br 0.7296 0.3109 0.0046  1 Ag 2.79
Br 0.7704 0.6891 0.5046  1 Ag 2.79